[1]
{"formula": "CaTi2Be", "functional": "GGA-PBE", "state": "optimized geometry", "space_group": "I-42d", "ef_ev_per_atom": 0.80, "dos_at_fermi_per_ev_atom": 1.068, "cell": [[-2.0390, 2.0390, 9.8932], [2.0390, -2.0390, 9.8932], [2.0390, 2.0390, -9.8932]], "species": ["Ca", "Ca", "Ti", "Ti", "Ti", "Ti", "Be", "Be"], "frac_coords": [[0.0000, 0.0000, 0.0000], [0.7500, 0.2500, 0.5000], [0.2452, 0.6250, 0.1202], [0.3750, 0.4952, 0.6202], [0.5048, 0.1250, 0.8798], [0.8750, 0.7548, 0.3798], [0.2500, 0.7500, 0.5000], [0.5000, 0.5000, 0.0000]]}

---

[2]
{"formula": "CaTiBe", "functional": "GGA-PBE", "state": "optimized geometry", "space_group": "P6_3/mmc", "ef_ev_per_atom": 2.12, "polymorph_energy_mev_per_atom": 1834, "dos_at_fermi_per_ev_atom": 0.869, "cell": [[4.3765, 0.0000, 0.0000], [-2.1882, 3.7901, 0.0000], [0.0000, 0.0000, 11.5201]], "species": ["Ca", "Ca", "Ti", "Ti", "Be", "Be"], "frac_coords": [[0.0000, 0.0000, 0.2500], [0.0000, 0.0000, 0.7500], [0.0000, 0.0000, 0.0000], [0.0000, 0.0000, 0.5000], [0.3333, 0.6667, 0.2500], [0.6667, 0.3333, 0.7500]]}

---

[3]
{"formula": "CaTiBe2", "functional": "GGA-PBE", "state": "optimized geometry", "space_group": "Fm-3m", "ef_ev_per_atom": 0.44, "polymorph_energy_mev_per_atom": 0, "dos_at_fermi_per_ev_atom": 0.984, "cell": [[0.0000, 3.2118, 3.2118], [3.2118, 0.0000, 3.2118], [3.2118, 3.2118, 0.0000]], "species": ["Ca", "Ti", "Be", "Be"], "frac_coords": [[0.0000, 0.0000, 0.0000], [0.5000, 0.5000, 0.5000], [0.2500, 0.2500, 0.2500], [0.7500, 0.7500, 0.7500]]}

---

[4]
{"formula": "CaTiBe", "functional": "GGA-PBE", "state": "optimized geometry", "space_group": "Cmcm", "ef_ev_per_atom": 0.28, "polymorph_energy_mev_per_atom": 0, "dos_at_fermi_per_ev_atom": 1.059, "cell": [[2.3174, -5.6823, 0.0000], [2.3174, 5.6823, 0.0000], [0.0000, 0.0000, 4.7093]], "species": ["Ca", "Ca", "Ti", "Ti", "Be", "Be"], "frac_coords": [[0.2076, 0.7924, 0.7500], [0.7924, 0.2076, 0.2500], [0.5000, 0.5000, 0.0000], [0.5000, 0.5000, 0.5000], [0.0416, 0.9584, 0.2500], [0.9584, 0.0416, 0.7500]]}

---

[5]
{"formula": "CaTiBe", "functional": "GGA-PBE", "state": "optimized geometry", "space_group": "P6_3/mmc", "ef_ev_per_atom": 0.54, "polymorph_energy_mev_per_atom": 254, "dos_at_fermi_per_ev_atom": 0.425, "cell": [[4.6038, 0.0000, 0.0000], [-2.3019, 3.9870, 0.0000], [0.0000, 0.0000, 6.3286]], "species": ["Ca", "Ca", "Ti", "Ti", "Be", "Be"], "frac_coords": [[0.0000, 0.0000, 0.0000], [0.0000, 0.0000, 0.5000], [0.3333, 0.6667, 0.2500], [0.6667, 0.3333, 0.7500], [0.3333, 0.6667, 0.7500], [0.6667, 0.3333, 0.2500]]}

---

[6]
{"formula": "Ca3TiBe", "functional": "GGA-PBE", "state": "optimized geometry", "space_group": "Pm-3m", "ef_ev_per_atom": 1.23, "polymorph_energy_mev_per_atom": 412, "dos_at_fermi_per_ev_atom": 1.584, "cell": [[5.7623, 0.0000, 0.0000], [0.0000, 5.7623, 0.0000], [0.0000, 0.0000, 5.7623]], "species": ["Ca", "Ca", "Ca", "Ti", "Be"], "frac_coords": [[0.0000, 0.0000, 0.5000], [0.0000, 0.5000, 0.0000], [0.5000, 0.0000, 0.0000], [0.0000, 0.0000, 0.0000], [0.5000, 0.5000, 0.5000]]}

---

[7]
{"formula": "Ca3TiBe", "functional": "GGA-PBE", "state": "optimized geometry", "space_group": "Pm-3m", "ef_ev_per_atom": 0.81, "polymorph_energy_mev_per_atom": 0, "dos_at_fermi_per_ev_atom": 2.850, "cell": [[5.4431, 0.0000, 0.0000], [0.0000, 5.4431, 0.0000], [0.0000, 0.0000, 5.4431]], "species": ["Ca", "Ca", "Ca", "Ti", "Be"], "frac_coords": [[0.0000, 0.0000, 0.5000], [0.0000, 0.5000, 0.0000], [0.5000, 0.0000, 0.0000], [0.5000, 0.5000, 0.5000], [0.0000, 0.0000, 0.0000]]}

---

[8]
{"formula": "CaTiBe3", "functional": "GGA-PBE", "state": "optimized geometry", "space_group": "Pm-3m", "ef_ev_per_atom": 1.92, "polymorph_energy_mev_per_atom": 957, "dos_at_fermi_per_ev_atom": 0.727, "cell": [[4.4772, 0.0000, 0.0000], [0.0000, 4.4772, 0.0000], [0.0000, 0.0000, 4.4772]], "species": ["Ca", "Ti", "Be", "Be", "Be"], "frac_coords": [[0.0000, 0.0000, 0.0000], [0.5000, 0.5000, 0.5000], [0.0000, 0.0000, 0.5000], [0.0000, 0.5000, 0.0000], [0.5000, 0.0000, 0.0000]]}

---

[9]
{"formula": "CaTiBe3", "functional": "GGA-PBE", "state": "optimized geometry", "space_group": "Pm-3m", "ef_ev_per_atom": 0.96, "polymorph_energy_mev_per_atom": 0, "dos_at_fermi_per_ev_atom": 0.801, "cell": [[4.6141, 0.0000, 0.0000], [0.0000, 4.6141, 0.0000], [0.0000, 0.0000, 4.6141]], "species": ["Ca", "Ti", "Be", "Be", "Be"], "frac_coords": [[0.0000, 0.0000, 0.0000], [0.5000, 0.5000, 0.5000], [0.0000, 0.5000, 0.5000], [0.5000, 0.0000, 0.5000], [0.5000, 0.5000, 0.0000]]}

---

[10]
{"formula": "CaTiBe2", "functional": "GGA-PBE", "state": "optimized geometry", "space_group": "I-42d", "ef_ev_per_atom": 0.82, "polymorph_energy_mev_per_atom": 385, "dos_at_fermi_per_ev_atom": 0.659, "cell": [[-3.5183, 3.5183, 3.0597], [3.5183, -3.5183, 3.0597], [3.5183, 3.5183, -3.0597]], "species": ["Ca", "Ca", "Ti", "Ti", "Be", "Be", "Be", "Be"], "frac_coords": [[0.0000, 0.0000, 0.0000], [0.7500, 0.2500, 0.5000], [0.2500, 0.7500, 0.5000], [0.5000, 0.5000, 0.0000], [0.1680, 0.6250, 0.0430], [0.3750, 0.4180, 0.5430], [0.5820, 0.1250, 0.9570], [0.8750, 0.8320, 0.4570]]}

---

[11]
{"formula": "CaTiBeV2", "functional": "GGA-PBE", "state": "optimized geometry", "space_group": "P4/mmm", "ef_ev_per_atom": 1.03, "dos_at_fermi_per_ev_atom": 1.629, "cell": [[4.3044, 0.0000, 0.0000], [0.0000, 4.3044, 0.0000], [0.0000, 0.0000, 4.8805]], "species": ["Ca", "Ti", "Be", "V", "V"], "frac_coords": [[0.0000, 0.0000, 0.0000], [0.5000, 0.5000, 0.0000], [0.0000, 0.0000, 0.5000], [0.0000, 0.5000, 0.5000], [0.5000, 0.0000, 0.5000]]}

---

[12]
{"formula": "Ca2TiBeV", "functional": "GGA-PBE", "state": "optimized geometry", "space_group": "P4/mmm", "ef_ev_per_atom": 1.13, "dos_at_fermi_per_ev_atom": 1.484, "cell": [[5.6236, 0.0000, 0.0000], [0.0000, 5.6236, 0.0000], [0.0000, 0.0000, 4.3022]], "species": ["Ca", "Ca", "Ti", "Be", "V"], "frac_coords": [[0.0000, 0.5000, 0.0000], [0.5000, 0.0000, 0.0000], [0.0000, 0.0000, 0.5000], [0.5000, 0.5000, 0.5000], [0.0000, 0.0000, 0.0000]]}